1.
Entry from Alexandria via LeMat-Bulk: crystalline Sc2BeRu2 at its relaxed geometry (GGA-PBE).

SG: P4/mbm
Total magnetic moment: 0.00 μB/f.u.
Energy relative to the elements: -0.357 eV/atom
Final energy: -73.5 eV for the cell shown
Volume: 162 Å³ per cell

Cell lengths 6.2910, 6.2910, 4.0848 Å; angles 90.00, 90.00, 90.00 degrees
Atoms (fractional coordinates):
1 Sc 0.1716 0.3283 0.0000
2 Sc 0.3283 0.8284 0.0000
3 Sc 0.6716 0.1716 0.0000
4 Sc 0.8284 0.6716 0.0000
5 Be 0.0000 0.0000 0.5000
6 Be 0.5000 0.5000 0.5000
7 Ru 0.1507 0.6507 0.5000
8 Ru 0.3493 0.1507 0.5000
9 Ru 0.6507 0.8493 0.5000
10 Ru 0.8493 0.3493 0.5000



2.
Entry from Alexandria via LeMat-Bulk: crystalline Sc2BeRu at its relaxed geometry (GGA-PBE).

SG: R-3m
Total magnetic moment: 0.00 μB/f.u.
Energy relative to the elements: 0.022 eV/atom
Final energy: -76.7 eV for the cell shown
Volume: 210 Å³ per cell

Cell lengths 3.2092, 3.2092, 23.5784 Å; angles 90.00, 90.00, 120.00 degrees
Atoms (fractional coordinates):
1 Sc 0.0000 0.0000 0.2484
2 Sc 0.0000 0.0000 0.7516
3 Sc 0.3333 0.6667 0.4183
4 Sc 0.3333 0.6667 0.9151
5 Sc 0.6667 0.3333 0.0849
6 Sc 0.6667 0.3333 0.5817
7 Be 0.0000 0.0000 0.0000
8 Be 0.3333 0.6667 0.6667
9 Be 0.6667 0.3333 0.3333
10 Ru 0.0000 0.0000 0.5000
11 Ru 0.3333 0.6667 0.1667
12 Ru 0.6667 0.3333 0.8333



3.
Entry from Alexandria via LeMat-Bulk: crystalline ScBeRu at its relaxed geometry (GGA-PBE).

SG: Cmcm
Total magnetic moment: 0.00 μB/f.u.
Energy relative to the elements: -0.390 eV/atom
Final energy: -82.0 eV for the cell shown
Volume: 178 Å³ per cell

Cell lengths 3.2451, 9.5146, 5.7791 Å; angles 90.00, 90.00, 90.00 degrees
Atoms (fractional coordinates):
1 Sc 0.0000 0.1841 0.2500
2 Sc 0.0000 0.8159 0.7500
3 Sc 0.5000 0.3159 0.7500
4 Sc 0.5000 0.6841 0.2500
5 Be 0.0000 0.0850 0.7500
6 Be 0.0000 0.9150 0.2500
7 Be 0.5000 0.4150 0.2500
8 Be 0.5000 0.5850 0.7500
9 Ru 0.0000 0.5000 0.0000
10 Ru 0.0000 0.5000 0.5000
11 Ru 0.5000 0.0000 0.0000
12 Ru 0.5000 0.0000 0.5000



4.
Entry from Alexandria via LeMat-Bulk: crystalline ScBe2Ru at its relaxed geometry (GGA-PBE).

SG: P4mm
Total magnetic moment: 0.00 μB/f.u.
Energy relative to the elements: -0.113 eV/atom
Final energy: -23.5 eV for the cell shown
Volume: 54 Å³ per cell

Cell lengths 3.0353, 3.0353, 5.9079 Å; angles 90.00, 90.00, 90.00 degrees
Atoms (fractional coordinates):
1 Sc 0.0000 0.0000 0.0000
2 Be 0.0000 0.0000 0.5286
3 Be 0.5000 0.5000 0.3375
4 Ru 0.5000 0.5000 0.7145



5.
Entry from Alexandria via LeMat-Bulk: crystalline Sc2BeRu at its relaxed geometry (GGA-PBE).

SG: Imm2
Total magnetic moment: 0.00 μB/f.u.
Energy relative to the elements: -0.245 eV/atom
Final energy: -53.3 eV for the cell shown
Volume: 133 Å³ per cell

Cell lengths 3.1996, 4.4580, 9.3095 Å; angles 90.00, 90.00, 90.00 degrees
Atoms (fractional coordinates):
1 Sc 0.0000 0.0000 0.0000
2 Sc 0.0000 0.5000 0.2124
3 Sc 0.5000 0.0000 0.7124
4 Sc 0.5000 0.5000 0.5000
5 Be 0.0000 0.5000 0.7719
6 Be 0.5000 0.0000 0.2719
7 Ru 0.0000 0.0000 0.4529
8 Ru 0.5000 0.5000 0.9529



6.
Entry from Alexandria via LeMat-Bulk: crystalline ScBeRu at its relaxed geometry (GGA-PBE).

SG: F-43m
Total magnetic moment: 0.00 μB/f.u.
Energy relative to the elements: -0.099 eV/atom
Final energy: -78.5 eV for the cell shown
Volume: 183 Å³ per cell

Cell lengths 5.6783, 5.6783, 5.6783 Å; angles 90.00, 90.00, 90.00 degrees
Atoms (fractional coordinates):
1 Sc 0.0000 0.0000 0.0000
2 Sc 0.0000 0.5000 0.5000
3 Sc 0.5000 0.0000 0.5000
4 Sc 0.5000 0.5000 0.0000
5 Be 0.2500 0.2500 0.7500
6 Be 0.2500 0.7500 0.2500
7 Be 0.7500 0.2500 0.2500
8 Be 0.7500 0.7500 0.7500
9 Ru 0.0000 0.0000 0.5000
10 Ru 0.0000 0.5000 0.0000
11 Ru 0.5000 0.0000 0.0000
12 Ru 0.5000 0.5000 0.5000